Version a
A geometry-optimized Tb2PuCo structure, computed with PBE.

density	10.4	g cm⁻³
total moment	7.47	μB/f.u.
space group	P4/mmm, No. 123
DOS at the Fermi energy	2.016	states/eV/atom

Cell: 3.377 3.377 8.675 Å, 90.00 90.00 90.00°
Site moments in Bohr magnetons follow the coordinates.
Atoms (fractional coordinates):
Co: 0.500 0.500 0.000  0.97
Pu: 0.500 0.500 0.500  5.76
Tb: 0.000 0.000 0.190  0.06
Tb: 0.000 0.000 0.810  0.06



Version b
A geometry-optimized Tb2PuCo structure, computed with PBE.

density	9.3	g cm⁻³
total moment	6.49	μB/f.u.
space group	R-3m, No. 166
DOS at the Fermi energy	2.744	states/eV/atom

Cell: 3.557 3.557 10.342 Å, 80.10 80.10 60.00°
Site moments in Bohr magnetons follow the coordinates.
Atoms (fractional coordinates):
Co: 0.500 0.500 0.500  0.04
Tb: 0.112 0.112 0.664  0.03
Tb: 0.888 0.888 0.336  0.03
Pu: 0.000 0.000 0.000  5.81



Tell me which of them is the least stable. Sure, it is version b.



Version a
A geometry-optimized TbPu2Co structure, computed with PBE.

density	11.3	g cm⁻³
total moment	10.88	μB/f.u.
space group	R-3m, No. 166
DOS at the Fermi energy	3.642	states/eV/atom

Cell: 3.499 3.499 9.950 Å, 79.87 79.87 60.00°
Site moments in Bohr magnetons follow the coordinates.
Atoms (fractional coordinates):
Co: 0.500 0.500 0.500  -0.66
Pu: 0.109 0.109 0.674  5.36
Pu: 0.891 0.891 0.326  5.36
Tb: 0.000 0.000 0.000  0.14



Version b
A geometry-optimized TbPu2Co structure, computed with PBE.

density	12.4	g cm⁻³
total moment	10.52	μB/f.u.
space group	P4/mmm, No. 123
DOS at the Fermi energy	3.208	states/eV/atom

Cell: 3.390 3.390 8.238 Å, 90.00 90.00 90.00°
Site moments in Bohr magnetons follow the coordinates.
Atoms (fractional coordinates):
Co: 0.500 0.500 0.000  -0.95
Tb: 0.500 0.500 0.500  0.15
Pu: 0.000 0.000 0.812  5.34
Pu: 0.000 0.000 0.188  5.34



Tell me which of them is the least stable. Sure, it is version a.



Version a
A geometry-optimized PuCoTc structure, computed with PBE.

density	14.6	g cm⁻³
total moment	0.28	μB/f.u.
space group	P-6m2, No. 187
DOS at the Fermi energy	1.828	states/eV/atom

Cell: 2.408 4.674 4.674 Å, 120.00 90.00 90.00°
Site moments in Bohr magnetons follow the coordinates.
Atoms (fractional coordinates):
Tc: 0.167 0.667 0.333  0.15
Pu: 0.666 0.333 0.667  -1.12
Co: 0.168 0.000 0.000  1.26



Version b
A geometry-optimized PuCoTc structure, computed with PBE.

density	13.4	g cm⁻³
total moment	2.29	μB/f.u.
space group	I4mm, No. 107
DOS at the Fermi energy	2.229	states/eV/atom

Cell: 3.571 3.571 4.654 Å, 112.56 112.56 90.00°
Site moments in Bohr magnetons follow the coordinates.
Atoms (fractional coordinates):
Pu: 0.957 0.957 0.914  4.52
Tc: 0.263 0.263 0.527  -0.94
Co: 0.630 0.630 0.259  -1.34



Version c
A geometry-optimized PuCoTc structure, computed with PBE.

density	13.5	g cm⁻³
total moment	3.58	μB/f.u.
space group	Imma, No. 74
DOS at the Fermi energy	2.572	states/eV/atom

Cell: 5.104 5.257 5.257 Å, 57.39 60.96 60.96°
Site moments in Bohr magnetons follow the coordinates.
Atoms (fractional coordinates):
Tc: 0.500 0.000 0.500  -0.49
Tc: 0.500 0.500 0.000  -0.49
Co: 0.500 0.000 0.000  -1.05
Co: 0.000 0.000 0.000  -1.05
Pu: 0.876 0.374 0.374  4.93
Pu: 0.124 0.626 0.626  4.93



Tell me which of them is the least stable. Sure, it is version a.



Version a
A geometry-optimized PuCo2Tc structure, computed with PBE.

density	12.5	g cm⁻³
total moment	0.43	μB/f.u.
space group	Fm-3m, No. 225
DOS at the Fermi energy	1.925	states/eV/atom

Cell: 4.415 4.415 4.415 Å, 60.01 60.01 60.00°
Site moments in Bohr magnetons follow the coordinates.
Atoms (fractional coordinates):
Pu: 0.000 0.000 0.000  -4.68
Tc: 0.500 0.500 0.500  1.51
Co: 0.250 0.250 0.249  1.39
Co: 0.750 0.750 0.751  1.39



Version b
A geometry-optimized PuCo2Tc structure, computed with PBE.

density	13.1	g cm⁻³
total moment	0.64	μB/f.u.
space group	P4/mmm, No. 123
DOS at the Fermi energy	2.329	states/eV/atom

Cell: 3.869 3.879 3.879 Å, 90.00 90.00 90.00°
Site moments in Bohr magnetons follow the coordinates.
Atoms (fractional coordinates):
Co: 0.000 0.000 0.500  1.25
Co: 0.000 0.500 0.000  1.25
Pu: 0.500 0.500 0.500  -3.98
Tc: 0.500 0.000 0.000  0.88



Tell me which of them is the least stable. Sure, it is version a.



Version a
A geometry-optimized PuUCoTc structure, computed with PBE.

density	14.4	g cm⁻³
total moment	5.44	μB/f.u.
space group	F-43m, No. 216
DOS at the Fermi energy	1.953	states/eV/atom

Cell: 4.711 4.711 4.711 Å, 60.00 60.00 60.00°
Site moments in Bohr magnetons follow the coordinates.
Atoms (fractional coordinates):
Tc: 0.250 0.250 0.250  -0.62
Co: 0.750 0.750 0.750  -1.04
Pu: 0.500 0.500 0.500  4.92
U: 0.000 0.000 0.000  1.78



Version b
A geometry-optimized PuUCoTc structure, computed with PBE.

density	16.2	g cm⁻³
total moment	2.87	μB/f.u.
space group	F-43m, No. 216
DOS at the Fermi energy	1.646	states/eV/atom

Cell: 4.520 4.520 4.520 Å, 60.00 60.00 60.00°
Site moments in Bohr magnetons follow the coordinates.
Atoms (fractional coordinates):
U: 0.250 0.250 0.250  0.59
Tc: 0.500 0.500 0.500  -0.52
Pu: 0.000 0.000 0.000  3.98
Co: 0.750 0.750 0.750  -1.16



Tell me which of them is the least stable. Sure, it is version a.



Version a
A geometry-optimized PuTi2Co structure, computed with PBE.

density	10.0	g cm⁻³
total moment	4.29	μB/f.u.
space group	P4/mmm, No. 123
DOS at the Fermi energy	1.374	states/eV/atom

Cell: 3.003 3.003 7.319 Å, 90.00 90.00 90.00°
Site moments in Bohr magnetons follow the coordinates.
Atoms (fractional coordinates):
Ti: 0.000 0.000 0.202  -0.03
Ti: 0.000 0.000 0.798  -0.03
Co: 0.500 0.500 0.000  -0.70
Pu: 0.500 0.500 0.500  4.88



Version b
A geometry-optimized PuTi2Co structure, computed with PBE.

density	10.1	g cm⁻³
total moment	2.58	μB/f.u.
space group	F-43m, No. 216
DOS at the Fermi energy	2.002	states/eV/atom

Cell: 4.531 4.531 4.531 Å, 60.00 60.00 60.00°
Site moments in Bohr magnetons follow the coordinates.
Atoms (fractional coordinates):
Ti: 0.000 0.000 0.000  -0.53
Ti: 0.250 0.250 0.250  -0.55
Co: 0.750 0.750 0.750  -0.91
Pu: 0.500 0.500 0.500  4.64



Tell me which of them is the least stable. Sure, it is version b.



Version a
A geometry-optimized PuTiCo2 structure, computed with PBE.

density	11.2	g cm⁻³
total moment	5.31	μB/f.u.
space group	P4/mmm, No. 123
DOS at the Fermi energy	2.209	states/eV/atom

Cell: 2.979 2.979 6.843 Å, 90.00 90.00 90.00°
Site moments in Bohr magnetons follow the coordinates.
Atoms (fractional coordinates):
Co: 0.000 0.000 0.798  0.09
Co: 0.000 0.000 0.202  0.09
Pu: 0.500 0.500 0.500  5.04
Ti: 0.500 0.500 0.000  -0.02



Version b
A geometry-optimized PuTiCo2 structure, computed with PBE.

density	11.0	g cm⁻³
total moment	3.57	μB/f.u.
space group	P4/mmm, No. 123
DOS at the Fermi energy	2.401	states/eV/atom

Cell: 3.053 4.493 4.493 Å, 90.00 90.00 90.00°
Site moments in Bohr magnetons follow the coordinates.
Atoms (fractional coordinates):
Ti: 0.500 0.000 0.000  0.15
Co: 0.000 0.500 0.000  -0.78
Co: 0.000 0.000 0.500  -0.78
Pu: 0.500 0.500 0.500  4.83



Tell me which of them is the least stable. Sure, it is version b.



Version a
A geometry-optimized Pu2TlCo structure, computed with PBE.

density	11.4	g cm⁻³
total moment	10.66	μB/f.u.
space group	R-3m, No. 166
DOS at the Fermi energy	3.679	states/eV/atom

Cell: 3.579 3.579 10.099 Å, 79.79 79.79 60.00°
Site moments in Bohr magnetons follow the coordinates.
Atoms (fractional coordinates):
Pu: 0.888 0.888 0.335  5.33
Pu: 0.112 0.112 0.665  5.33
Tl: 0.000 0.000 0.000  0.01
Co: 0.500 0.500 0.500  -0.72



Version b
A geometry-optimized Pu2TlCo structure, computed with PBE.

density	13.9	g cm⁻³
total moment	9.97	μB/f.u.
space group	P4/mmm, No. 123
DOS at the Fermi energy	3.270	states/eV/atom

Cell: 3.279 3.279 8.345 Å, 90.00 90.00 90.00°
Site moments in Bohr magnetons follow the coordinates.
Atoms (fractional coordinates):
Pu: 0.000 0.000 0.200  5.34
Pu: 0.000 0.000 0.800  5.34
Co: 0.500 0.500 0.000  -1.11
Tl: 0.500 0.500 0.500  -0.05



Version c
A geometry-optimized Pu2TlCo structure, computed with PBE.

density	12.7	g cm⁻³
total moment	0.56	μB/f.u.
space group	R3m, No. 160
DOS at the Fermi energy	4.385	states/eV/atom

Cell: 3.618 3.618 8.903 Å, 78.28 78.28 60.00°
Site moments in Bohr magnetons follow the coordinates.
Atoms (fractional coordinates):
Tl: 0.498 0.498 0.505  0.00
Pu: 0.269 0.269 0.193  5.23
Pu: 0.061 0.061 0.816  -5.06
Co: 0.671 0.671 0.986  0.34



Tell me which of them is the least stable. Sure, it is version a.